(1)
Computed, not measured: a relaxed Ca3MnOs crystal at the PBE level of DFT.

Lattice parameters (Å, degrees): 5.064 5.064 5.064 90.00 90.00 90.00
Site moments in Bohr magnetons follow the coordinates.
Atoms (fractional coordinates):
Ca 0.000 0.500 0.000  -0.04
Ca 0.000 0.000 0.500  -0.04
Ca 0.500 0.000 0.000  -0.04
Os 0.500 0.500 0.500  1.73
Mn 0.000 0.000 0.000  0.11

Summary:
formation enthalpy at 0 K	1.477	eV/atom
energy relative to the lowest polymorph listed for this composition	749	meV per atom

***

(2)
Computed, not measured: a relaxed Ca3MnOs crystal at the PBE level of DFT.

Lattice parameters (Å, degrees): 5.469 5.469 5.469 90.00 90.00 90.00
Site moments in Bohr magnetons follow the coordinates.
Atoms (fractional coordinates):
Mn 0.500 0.500 0.500  -4.36
Ca 0.500 0.000 0.000  0.01
Ca 0.000 0.000 0.500  0.01
Ca 0.000 0.500 0.000  0.01
Os 0.000 0.000 0.000  -0.34

Summary:
formation enthalpy at 0 K	0.729	eV/atom
energy relative to the lowest polymorph listed for this composition	0	meV per atom

***

(3)
Computed, not measured: a relaxed CaMnOs2 crystal at the PBE level of DFT.

Lattice parameters (Å, degrees): 2.967 2.967 7.475 90.00 90.00 90.00
Site moments in Bohr magnetons follow the coordinates.
Atoms (fractional coordinates):
Ca 0.500 0.500 0.250  0.01
Os 0.000 0.000 0.941  -0.03
Os 0.000 0.000 0.559  -0.03
Mn 0.500 0.500 0.750  2.16

Summary:
formation enthalpy at 0 K	0.379	eV/atom
energy relative to the lowest polymorph listed for this composition	2	meV per atom

***

(4)
Computed, not measured: a relaxed CaMnOs2 crystal at the PBE level of DFT.

Lattice parameters (Å, degrees): 4.463 4.463 3.209 90.00 90.00 90.00
Site moments in Bohr magnetons follow the coordinates.
Atoms (fractional coordinates):
Os 0.000 0.000 0.000  -0.41
Os 0.500 0.500 0.000  -0.41
Mn 0.000 0.500 0.500  2.97
Ca 0.500 0.000 0.500  -0.01

Summary:
formation enthalpy at 0 K	0.750	eV/atom
energy relative to the lowest polymorph listed for this composition	373	meV per atom

***

- Which formula does entry 4 have?
  CaMnOs2